(1)
Computed, not measured: crystalline GdSc3C2Se2 at its relaxed geometry at the PBE level of DFT.

Values from the calculation:
* final energy: -7.26 eV per atom
* magnetic moment: 0.002 μB per atom

```
GdSc3C2Se2
1.0
3.5840 0.0000 0.0000
-1.7920 3.1039 0.0000
0.0000 0.0000 12.6324
Gd Sc C Se
1 3 2 2
Cartesian
0.0000 0.0000 0.0000 Gd
0.0000 0.0000 3.9328 Sc
0.0000 2.0692 6.3278 Sc
0.0000 2.0692 10.0370 Sc
1.7920 1.0346 5.1411 C
1.7920 1.0346 11.2539 C
0.0000 0.0000 8.1913 Se
0.0000 2.0692 2.1027 Se
```



(2)
Computed, not measured: crystalline BaSmTc at its relaxed geometry at the PBE level of DFT.

Values from the calculation:
* final energy: -4.46 eV per atom
* magnetic moment: 0.101 μB per atom

```
BaSmTc
1.0
0.0000 3.5682 3.5682
3.5682 0.0000 3.5682
3.5682 3.5682 0.0000
Ba Sm Tc
1 1 1
Cartesian
0.0000 0.0000 0.0000 Ba
1.7841 1.7841 1.7841 Sm
3.5682 3.5682 3.5682 Tc
```